No. 1
# NiHIF2 | Alexandria | PBE with a Hubbard U | relaxed
# * ΔE to the lowest computed polymorph: 0.0000 eV/atom
# * total energy: -13.9 eV/f.u.
# * total magnetic moment: 0.00 μB per cell
data_NiHIF2
_symmetry_space_group_name_H-M 'P 4/m m m'
_symmetry_Int_Tables_number 123
_symmetry_space_group_name_Hall '-P 4 2'
_cell_length_a 3.620
_cell_length_b 3.620
_cell_length_c 6.867
_cell_angle_alpha 90.00
_cell_angle_beta 90.00
_cell_angle_gamma 90.00
loop_
_atom_site_label
_atom_site_type_symbol
_atom_site_fract_x
_atom_site_fract_y
_atom_site_fract_z
Ni1 Ni 0.000 0.000 0.000
H1 H 0.000 0.000 0.500
I1 I 0.500 0.500 0.500
F1 F 0.000 0.500 0.000

=====

No. 2
# NiHIF2 | Alexandria | PBE with a Hubbard U | relaxed
# * ΔE to the lowest computed polymorph: 0.7307 eV/atom
# * total energy: -10.3 eV/f.u.
# * total magnetic moment: 1.96 μB per cell
data_NiHIF2
_symmetry_space_group_name_H-M 'P 4/m m m'
_symmetry_Int_Tables_number 123
_symmetry_space_group_name_Hall '-P 4 2'
_cell_length_a 4.762
_cell_length_b 4.762
_cell_length_c 4.980
_cell_angle_alpha 90.00
_cell_angle_beta 90.00
_cell_angle_gamma 90.00
loop_
_atom_site_label
_atom_site_type_symbol
_atom_site_fract_x
_atom_site_fract_y
_atom_site_fract_z
Ni1 Ni 0.000 0.000 0.000
H1 H 0.500 0.500 0.000
I1 I 0.000 0.000 0.500
F1 F 0.000 0.500 0.500